Run A
A plane-wave DFT calculation with PBEsol was carried out for an optimized crystal structure of Si6Bi9O26.

a = 9.608 Å, b = 9.608 Å, c = 13.961 Å
α = 90.00°, β = 90.00°, γ = 120.00°
Atoms (fractional coordinates):
Si1 0.023 0.627 0.375
Si2 0.025 0.627 0.873
Si3 0.373 0.396 0.375
Si4 0.373 0.398 0.873
Si5 0.396 0.023 0.625
Si6 0.398 0.025 0.127
Si7 0.602 0.975 0.873
Si8 0.604 0.977 0.375
Si9 0.627 0.602 0.127
Si10 0.627 0.604 0.625
Si11 0.975 0.373 0.127
Si12 0.977 0.373 0.625
Bi1 0.004 0.242 0.374
Bi2 0.009 0.239 0.874
Bi3 0.231 0.991 0.874
Bi4 0.238 0.996 0.374
Bi5 0.239 0.231 0.126
Bi6 0.242 0.238 0.626
Bi7 0.333 0.667 0.243
Bi8 0.333 0.667 0.525
Bi9 0.333 0.667 0.983
Bi10 0.667 0.333 0.017
Bi11 0.667 0.333 0.475
Bi12 0.667 0.333 0.757
Bi13 0.758 0.762 0.374
Bi14 0.761 0.769 0.874
Bi15 0.762 0.004 0.626
Bi16 0.769 0.009 0.126
Bi17 0.991 0.761 0.126
Bi18 0.996 0.758 0.626
O1 0.000 0.000 0.120
O2 0.000 0.000 0.373
O3 0.000 0.000 0.627
O4 0.000 0.000 0.880
O5 0.076 0.760 0.786
O6 0.091 0.754 0.284
O7 0.093 0.754 0.965
O8 0.097 0.752 0.467
O9 0.112 0.519 0.369
O10 0.121 0.526 0.880
O11 0.168 0.496 0.126
O12 0.171 0.477 0.623
O13 0.240 0.316 0.786
O14 0.246 0.337 0.284
O15 0.246 0.339 0.965
O16 0.248 0.345 0.467
O17 0.306 0.829 0.623
O18 0.316 0.076 0.214
O19 0.328 0.832 0.126
O20 0.337 0.091 0.716
O21 0.339 0.093 0.035
O22 0.345 0.097 0.533
O23 0.405 0.879 0.880
O24 0.407 0.888 0.369
O25 0.474 0.595 0.880
O26 0.477 0.306 0.377
O27 0.481 0.593 0.369
O28 0.496 0.328 0.874
O29 0.504 0.672 0.126
O30 0.519 0.407 0.631
O31 0.523 0.694 0.623
O32 0.526 0.405 0.120
O33 0.593 0.112 0.631
O34 0.595 0.121 0.120
O35 0.655 0.903 0.467
O36 0.661 0.907 0.965
O37 0.663 0.909 0.284
O38 0.672 0.168 0.874
O39 0.684 0.924 0.786
O40 0.694 0.171 0.377
O41 0.752 0.655 0.533
O42 0.754 0.661 0.035
O43 0.754 0.663 0.716
O44 0.760 0.684 0.214
O45 0.829 0.523 0.377
O46 0.832 0.504 0.874
O47 0.879 0.474 0.120
O48 0.888 0.481 0.631
O49 0.903 0.248 0.533
O50 0.907 0.246 0.035
O51 0.909 0.246 0.716
O52 0.924 0.240 0.214

Values from the calculation:
**V**: 13.6 Å³ per atom



Run B
A plane-wave DFT calculation with PBEsol was carried out for an optimized crystal structure of Si6Bi9O26.

a = 9.582 Å, b = 9.582 Å, c = 7.017 Å
α = 90.00°, β = 90.00°, γ = 120.00°
Atoms (fractional coordinates):
Si1 0.028 0.625 0.000
Si2 0.375 0.403 0.000
Si3 0.394 0.025 0.514
Si4 0.597 0.972 0.000
Si5 0.631 0.606 0.514
Si6 0.975 0.369 0.514
Bi1 0.002 0.761 0.502
Bi2 0.012 0.243 0.005
Bi3 0.230 0.988 0.005
Bi4 0.239 0.240 0.502
Bi5 0.333 0.667 0.732
Bi6 0.667 0.333 0.254
Bi7 0.667 0.333 0.764
Bi8 0.757 0.770 0.005
Bi9 0.760 0.998 0.502
O1 0.000 0.000 0.004
O2 0.000 0.000 0.499
O3 0.077 0.758 0.825
O4 0.084 0.751 0.181
O5 0.119 0.523 0.960
O6 0.170 0.469 0.521
O7 0.242 0.320 0.825
O8 0.249 0.332 0.181
O9 0.299 0.830 0.521
O10 0.343 0.103 0.692
O11 0.350 0.098 0.323
O12 0.404 0.881 0.960
O13 0.477 0.596 0.960
O14 0.503 0.336 0.012
O15 0.523 0.408 0.518
O16 0.531 0.701 0.521
O17 0.592 0.116 0.518
O18 0.664 0.167 0.012
O19 0.668 0.916 0.181
O20 0.680 0.923 0.825
O21 0.747 0.650 0.323
O22 0.761 0.657 0.692
O23 0.833 0.497 0.012
O24 0.884 0.477 0.518
O25 0.897 0.239 0.692
O26 0.902 0.253 0.323

Values from the calculation:
**V**: 13.6 Å³ per atom



Most stable structure among those shown: run A. Next: +1.0 kJ/mol of atoms.